# 1
Material: YMg2Si
Method: DFT, PBE-GGA
State: optimized geometry

Geometry as POSCAR:
```
YMg2Si
1.0
3.506 0.000 0.000
0.000 4.687 0.000
-1.404 0.000 5.503
Y Mg Si
1 2 1
direct
0.000 0.000 0.000
0.364 0.500 0.725
0.636 0.500 0.275
0.500 0.000 0.500
```

Output
SG: No. 10

***

# 2
Material: YMg6Si
Method: DFT, PBE-GGA
State: optimized geometry

Geometry as POSCAR:
```
YMg6Si
1.0
5.021 0.000 0.000
0.000 3.038 5.906
0.000 -3.038 5.906
Y Mg Si
1 6 1
direct
0.000 0.000 0.000
0.000 0.498 0.997
0.000 0.997 0.498
0.500 0.146 0.643
0.500 0.161 0.161
0.500 0.631 0.631
0.500 0.643 0.146
0.000 0.475 0.475
```

Output
SG: No. 38

***

# 3
Material: YMgSi4
Method: DFT, PBE-GGA
State: optimized geometry

Geometry as POSCAR:
```
YMgSi4
1.0
0.000 3.707 3.707
3.707 0.000 3.707
3.707 3.707 0.000
Y Mg Si
1 1 4
direct
0.000 0.000 0.000
0.750 0.750 0.750
0.376 0.376 0.376
0.376 0.376 0.872
0.376 0.872 0.376
0.872 0.376 0.376
```

Output
SG: No. 216

***

# 4
Material: YMg2Si
Method: DFT, PBE-GGA
State: optimized geometry

Geometry as POSCAR:
```
YMg2Si
1.0
4.537 -1.661 0.000
4.537 1.661 0.000
-1.046 0.000 6.082
Y Mg Si
1 2 1
direct
0.000 0.000 0.000
0.235 0.235 0.671
0.482 0.482 0.459
0.745 0.745 0.258
```

Output
SG: No. 8

***

# 5
Material: YMg2Si
Method: DFT, PBE-GGA
State: optimized geometry

Geometry as POSCAR:
```
YMg2Si
1.0
0.000 3.500 3.500
3.500 0.000 3.500
3.500 3.500 0.000
Y Mg Si
1 2 1
direct
0.000 0.000 0.000
0.500 0.500 0.500
0.750 0.750 0.750
0.250 0.250 0.250
```

Output
SG: No. 216

***

# 6
Material: YMg2Si
Method: DFT, PBE-GGA
State: optimized geometry

Geometry as POSCAR:
```
YMg2Si
1.0
-2.082 2.082 10.907
2.082 -2.082 10.907
2.082 2.082 -10.907
Y Mg Si
2 4 2
direct
0.000 0.000 0.000
0.750 0.250 0.500
0.141 0.625 0.016
0.375 0.391 0.516
0.609 0.125 0.984
0.875 0.859 0.484
0.250 0.750 0.500
0.500 0.500 0.000
```

Output
SG: No. 122

***

# 7
Material: YMg6Si
Method: DFT, PBE-GGA
State: optimized geometry

Geometry as POSCAR:
```
YMg6Si
1.0
4.901 0.000 0.000
0.000 3.152 5.870
0.000 -3.152 5.870
Y Mg Si
1 6 1
direct
0.000 0.000 0.000
0.000 0.023 0.511
0.000 0.511 0.023
0.000 0.533 0.533
0.500 0.380 0.380
0.500 0.380 0.873
0.500 0.873 0.380
0.500 0.846 0.846
```

Output
SG: No. 38

***

# 8
Material: YMg2Si
Method: DFT, PBE-GGA
State: optimized geometry

Geometry as POSCAR:
```
YMg2Si
1.0
-2.248 2.248 4.305
2.248 -2.248 4.305
2.248 2.248 -4.305
Y Mg Si
1 2 1
direct
0.000 0.000 0.000
0.250 0.750 0.500
0.500 0.500 0.000
0.750 0.250 0.500
```

Output
SG: No. 119

***

# 9
Material: YMg2Si
Method: DFT, PBE-GGA
State: optimized geometry

Geometry as POSCAR:
```
YMg2Si
1.0
1.678 0.969 9.724
-1.678 0.969 9.724
0.000 -1.937 9.724
Y Mg Si
1 2 1
direct
0.000 0.000 0.000
0.236 0.236 0.236
0.479 0.479 0.479
0.744 0.744 0.744
```

Output
SG: No. 160

***

# 10
Material: YMg2Si
Method: DFT, PBE-GGA
State: optimized geometry

Geometry as POSCAR:
```
YMg2Si
1.0
5.911 -1.765 0.000
5.911 1.765 0.000
-1.899 0.000 4.364
Y Mg Si
1 2 1
direct
0.000 0.000 0.000
0.214 0.214 0.715
0.786 0.786 0.285
0.500 0.500 0.500
```

Output
SG: No. 12

***

# 11
Material: YMg2Si
Method: DFT, PBE-GGA
State: optimized geometry

Geometry as POSCAR:
```
YMg2Si
1.0
3.363 0.000 0.000
0.000 3.363 0.000
0.000 0.000 7.975
Y Mg Si
1 2 1
direct
0.000 0.000 0.000
0.500 0.500 0.299
0.500 0.500 0.701
0.000 0.000 0.500
```

Output
SG: No. 123

***

# 12
Material: YMg2Si
Method: DFT, PBE-GGA
State: optimized geometry

Geometry as POSCAR:
```
YMg2Si
1.0
3.347 0.000 0.000
0.000 4.141 0.000
0.000 0.000 6.380
Y Mg Si
1 2 1
direct
0.000 0.000 0.000
0.500 0.500 0.281
0.500 0.500 0.719
0.000 0.000 0.500
```

Output
SG: No. 47

***

Formation energy (no corrections) for the records above, in order: -0.12 -0.04 -0.14 -0.05 -0.08 -0.05 -0.03 -0.12 0.06 -0.21 -0.01 -0.01 eV/atom
Final energy for the records above, in order: -3.894 -2.722 -5.096 -3.820 -3.847 -3.821 -2.708 -3.891 -3.714 -3.977 -3.780 -3.774 eV/atom